Entry w
VASP calculation (PBE) on an optimized crystal structure of La2ZrCu.

Lattice parameters (Å, degrees): 3.6057 4.8975 6.4501 90.00 106.07 90.00
Closest atoms and distances in Å follow each position.
Positions (direct):
La 0.0000 0.0000 0.0000  2 Cu 3.17-3.18, 4 Zr 3.25
La 0.3085 0.5000 0.6167  3 Zr 3.23-3.51, 4 Cu 3.27, 2 La 3.61
Zr 0.5904 0.5000 0.1831  2 Cu 2.86
Cu 0.7113 0.0000 0.4224  2 Zr 2.86, 2 La 3.17-3.18

Results
SG: No. 6
Crystal system: monoclinic

---

Entry x
VASP calculation (PBE) on an optimized crystal structure of La2ZrCu.

Lattice parameters (Å, degrees): 3.4681 5.3088 5.4397 90.00 90.00 90.00
Closest atoms and distances in Å follow each position.
Positions (direct):
La 0.0000 0.0000 0.0000  4 Cu 3.17, 6 La 3.23-3.47
La 0.5000 0.0000 0.5000  4 Zr 3.17, 6 La 3.23-3.47
Zr 0.0000 0.5000 0.5000  4 La 3.17, 4 Cu 3.23, 2 Zr 3.47
Cu 0.5000 0.5000 0.0000  4 La 3.17, 4 Zr 3.23, 2 Cu 3.47

Results
SG: No. 47
Crystal system: orthorhombic

---

Which structure loses on stability? entry x does.

---

Entry w
VASP calculation (PBE) on an optimized crystal structure of Li2Cu3.

Lattice parameters (Å, degrees): 4.5502 4.5502 6.4352 117.18 117.18 32.58
Closest atoms and distances in Å follow each position.
Positions (direct):
Li 0.1901 0.1901 0.2804  8 Cu 2.51-2.70, 4 Li 2.55-2.81
Li 0.8099 0.8099 0.7196  8 Cu 2.51-2.70, 4 Li 2.55-2.81
Cu 0.0000 0.0000 0.5000  6 Cu 2.55, 6 Li 2.64-2.70
Cu 0.3974 0.3974 0.1129  5 Li 2.51-2.60, 7 Cu 2.55-2.79
Cu 0.6026 0.6026 0.8871  5 Li 2.51-2.60, 7 Cu 2.55-2.79

Results
SG: No. 12
Crystal system: monoclinic

---

Entry x
VASP calculation (PBE) on an optimized crystal structure of Li2Cu3.

Lattice parameters (Å, degrees): 10.6271 10.6271 10.6271 14.22 14.22 14.22
Closest atoms and distances in Å follow each position.
Positions (direct):
Li 0.0990 0.0990 0.0990  6 Cu 2.59-2.62, 6 Li 2.63
Li 0.9010 0.9010 0.9010  6 Cu 2.59-2.62, 6 Li 2.63
Cu 0.3010 0.3010 0.3010  9 Cu 2.54-2.63, 3 Li 2.59
Cu 0.5000 0.5000 0.5000  6 Li 2.62, 6 Cu 2.63
Cu 0.6990 0.6990 0.6990  9 Cu 2.54-2.63, 3 Li 2.59

Results
SG: No. 166
Crystal system: trigonal

---

Which structure loses on stability? entry x does.

---

Entry w
VASP calculation (PBE) on an optimized crystal structure of Li3Cu7.

Lattice parameters (Å, degrees): 6.8164 6.8164 5.2201 100.17 100.17 30.37
Closest atoms and distances in Å follow each position.
Positions (direct):
Li 0.0000 0.0000 0.0000  12 Cu 2.54-2.61
Li 0.1996 0.1996 0.6008  10 Cu 2.53-2.65, 2 Li 2.56
Li 0.8004 0.8004 0.3992  10 Cu 2.53-2.65, 2 Li 2.56
Cu 0.0000 0.0000 0.5000  8 Cu 2.55-2.57, 4 Li 2.58-2.61
Cu 0.1985 0.1985 0.0920  7 Cu 2.54-2.59, 5 Li 2.57-2.65
Cu 0.3987 0.3987 0.2042  4 Li 2.53-2.57, 8 Cu 2.55-2.61
Cu 0.4024 0.4024 0.7065  5 Li 2.54-2.62, 7 Cu 2.55-2.61
Cu 0.5976 0.5976 0.2935  5 Li 2.54-2.62, 7 Cu 2.55-2.61
Cu 0.6013 0.6013 0.7958  4 Li 2.53-2.57, 8 Cu 2.55-2.61
Cu 0.8015 0.8015 0.9080  7 Cu 2.54-2.59, 5 Li 2.57-2.65

Results
SG: No. 12
Crystal system: monoclinic

---

Entry x
VASP calculation (PBE) on an optimized crystal structure of Li3Cu7.

Lattice parameters (Å, degrees): 6.2723 6.2723 6.3414 90.00 90.00 136.48
Closest atoms and distances in Å follow each position.
Positions (direct):
Li 0.0000 0.0000 0.0000  12 Cu 2.90-3.14
Li 0.1515 0.8485 0.5000  6 Cu 2.92-3.08, 2 Li 3.27
Li 0.8485 0.1515 0.5000  6 Cu 2.92-3.08, 2 Li 3.27
Cu 0.0000 0.5000 0.0000  6 Cu 2.33-2.39
Cu 0.3951 0.6049 0.1928  5 Cu 2.30-2.45
Cu 0.3951 0.6049 0.8072  5 Cu 2.30-2.45
Cu 0.5000 0.0000 0.0000  6 Cu 2.33-2.39
Cu 0.5000 0.5000 0.5000  4 Cu 2.30
Cu 0.6049 0.3951 0.1928  5 Cu 2.30-2.45
Cu 0.6049 0.3951 0.8072  5 Cu 2.30-2.45

Results
SG: No. 65
Crystal system: orthorhombic

---

Which structure loses on stability? entry x does.

---

Entry w
VASP calculation (PBE) on an optimized crystal structure of Li3Cu4.

Lattice parameters (Å, degrees): 4.5758 4.5758 4.7614 90.00 90.00 120.00
Closest atoms and distances in Å follow each position.
Positions (direct):
Li 0.0000 0.5000 0.0000  4 Li 2.29
Li 0.5000 0.0000 0.0000  4 Li 2.29
Li 0.5000 0.5000 0.0000  4 Li 2.29
Cu 0.0000 0.0000 0.2584  2 Cu 2.30-2.46
Cu 0.0000 0.0000 0.7416  2 Cu 2.30-2.46
Cu 0.3333 0.6667 0.5000  9 Cu 2.64-2.88, 6 Li 2.72
Cu 0.6667 0.3333 0.5000  9 Cu 2.64-2.88, 6 Li 2.72

Results
SG: No. 191
Crystal system: hexagonal

---

Entry x
VASP calculation (PBE) on an optimized crystal structure of Li3Cu4.

Lattice parameters (Å, degrees): 7.2882 7.2882 4.1873 90.00 90.00 120.00
Closest atoms and distances in Å follow each position.
Positions (direct):
Li 0.1422 0.2844 0.2500  3 Cu 2.41-2.60
Li 0.1422 0.8578 0.2500  3 Cu 2.41-2.60
Li 0.2844 0.1422 0.7500  3 Cu 2.41-2.60
Li 0.7156 0.8578 0.2500  3 Cu 2.41-2.60
Li 0.8578 0.1422 0.7500  3 Cu 2.41-2.60
Li 0.8578 0.7156 0.7500  3 Cu 2.41-2.60
Cu 0.1028 0.5514 0.7500  7 Cu 2.46-2.75, 2 Li 2.60
Cu 0.3333 0.6667 0.2500  3 Li 2.41, 6 Cu 2.55
Cu 0.4486 0.5514 0.7500  7 Cu 2.46-2.75, 2 Li 2.60
Cu 0.4486 0.8972 0.7500  7 Cu 2.46-2.75, 2 Li 2.60
Cu 0.5514 0.1028 0.2500  7 Cu 2.46-2.75, 2 Li 2.60
Cu 0.5514 0.4486 0.2500  7 Cu 2.46-2.75, 2 Li 2.60
Cu 0.6667 0.3333 0.7500  3 Li 2.41, 6 Cu 2.55
Cu 0.8972 0.4486 0.2500  7 Cu 2.46-2.75, 2 Li 2.60

Results
SG: No. 194
Crystal system: hexagonal

---

Which structure loses on stability? entry w does.

---

Entry w
VASP calculation (PBE) on an optimized crystal structure of LiCu6.

Lattice parameters (Å, degrees): 5.6252 5.6252 5.6252 109.47 109.47 109.47
Closest atoms and distances in Å follow each position.
Positions (direct):
Li 0.0000 0.0000 0.0000  24 Cu 3.63
Cu 0.2500 0.5000 0.7500  4 Cu 2.30
Cu 0.2500 0.7500 0.5000  4 Cu 2.30
Cu 0.5000 0.2500 0.7500  4 Cu 2.30
Cu 0.5000 0.7500 0.2500  4 Cu 2.30
Cu 0.7500 0.2500 0.5000  4 Cu 2.30
Cu 0.7500 0.5000 0.2500  4 Cu 2.30

Results
SG: No. 229
Crystal system: cubic

---

Entry x
VASP calculation (PBE) on an optimized crystal structure of LiCu6.

Lattice parameters (Å, degrees): 7.8555 4.8166 9.8887 90.00 90.00 90.00
Closest atoms and distances in Å follow each position.
Positions (direct):
Li 0.2448 0.2500 0.0660  9 Cu 2.70-3.02
Li 0.2552 0.7500 0.5660  9 Cu 2.70-3.02
Li 0.7448 0.2500 0.4340  9 Cu 2.70-3.02
Li 0.7552 0.7500 0.9340  9 Cu 2.70-3.02
Cu 0.0594 0.7500 0.0843  6 Cu 2.43-2.66
Cu 0.0613 0.0064 0.3082  9 Cu 2.35-2.60
Cu 0.0613 0.4936 0.3082  9 Cu 2.35-2.60
Cu 0.1121 0.2500 0.5196  7 Cu 2.43-2.66, 2 Li 2.70
Cu 0.1475 0.7500 0.8488  8 Cu 2.43-2.60
Cu 0.1876 0.2500 0.7612  9 Cu 2.37-2.65
Cu 0.3124 0.7500 0.2612  9 Cu 2.37-2.65
Cu 0.3525 0.2500 0.3488  8 Cu 2.43-2.60
Cu 0.3879 0.7500 0.0196  7 Cu 2.43-2.66, 2 Li 2.70
Cu 0.4387 0.5064 0.8082  9 Cu 2.35-2.60
Cu 0.4387 0.9936 0.8082  9 Cu 2.35-2.60
Cu 0.4406 0.2500 0.5843  6 Cu 2.43-2.66
Cu 0.5594 0.7500 0.4157  6 Cu 2.43-2.66
Cu 0.5613 0.0064 0.1918  9 Cu 2.35-2.60
Cu 0.5613 0.4936 0.1918  9 Cu 2.35-2.60
Cu 0.6121 0.2500 0.9804  7 Cu 2.43-2.66, 2 Li 2.70
Cu 0.6475 0.7500 0.6512  8 Cu 2.43-2.60
Cu 0.6876 0.2500 0.7388  9 Cu 2.37-2.65
Cu 0.8124 0.7500 0.2388  9 Cu 2.37-2.65
Cu 0.8525 0.2500 0.1512  8 Cu 2.43-2.60
Cu 0.8879 0.7500 0.4804  7 Cu 2.43-2.66, 2 Li 2.70
Cu 0.9387 0.5064 0.6918  9 Cu 2.35-2.60
Cu 0.9387 0.9936 0.6918  9 Cu 2.35-2.60
Cu 0.9406 0.2500 0.9157  6 Cu 2.43-2.66

Results
SG: No. 62
Crystal system: orthorhombic

---

Which structure loses on stability? entry w does.

---

Entry w
VASP calculation (PBE) on an optimized crystal structure of Li3Cu2.

Lattice parameters (Å, degrees): 7.0246 5.0685 8.0288 59.91 38.63 81.46
Closest atoms and distances in Å follow each position.
Positions (direct):
Li 0.0000 0.0000 0.0000  6 Cu 2.59-2.74, 4 Li 2.68-2.69
Li 0.2500 0.2500 0.2500  6 Cu 2.59-2.74, 4 Li 2.68-2.69
Li 0.3982 0.6006 0.3934  5 Cu 2.51-2.68, 5 Li 2.59-2.77
Li 0.6006 0.3982 0.6078  5 Cu 2.51-2.68, 5 Li 2.59-2.77
Li 0.6422 0.8566 0.6494  5 Cu 2.51-2.68, 5 Li 2.59-2.77
Li 0.8566 0.6422 0.8518  5 Cu 2.51-2.68, 5 Li 2.59-2.77
Cu 0.0383 0.4547 0.0482  8 Li 2.51-2.74, 2 Cu 2.57
Cu 0.2018 0.7912 0.2117  8 Li 2.51-2.74, 2 Cu 2.57
Cu 0.4547 0.0383 0.4588  8 Li 2.51-2.74, 2 Cu 2.57
Cu 0.7912 0.2018 0.7953  8 Li 2.51-2.74, 2 Cu 2.57

Results
SG: No. 43
Crystal system: orthorhombic

---

Entry x
VASP calculation (PBE) on an optimized crystal structure of Li3Cu2.

Lattice parameters (Å, degrees): 4.3918 4.3918 4.3918 71.27 71.27 71.27
Closest atoms and distances in Å follow each position.
Positions (direct):
Li 0.0000 0.5000 0.5000  6 Cu 2.54-2.82, 4 Li 2.56
Li 0.5000 0.0000 0.5000  6 Cu 2.54-2.82, 4 Li 2.56
Li 0.5000 0.5000 0.0000  6 Cu 2.54-2.82, 4 Li 2.56
Cu 0.1216 0.1216 0.1216  1 Cu 2.37, 3 Li 2.54
Cu 0.8784 0.8784 0.8784  1 Cu 2.37, 3 Li 2.54

Results
SG: No. 166
Crystal system: trigonal

---

Entry y
VASP calculation (PBE) on an optimized crystal structure of Li3Cu2.

Lattice parameters (Å, degrees): 10.9456 10.9456 10.9456 14.21 14.21 14.21
Closest atoms and distances in Å follow each position.
Positions (direct):
Li 0.0000 0.0000 0.0000  6 Cu 2.61, 6 Li 2.71
Li 0.2052 0.2052 0.2052  3 Cu 2.60, 6 Li 2.71
Li 0.7948 0.7948 0.7948  3 Cu 2.60, 6 Li 2.71
Cu 0.3975 0.3975 0.3975  6 Li 2.60-2.61, 6 Cu 2.71
Cu 0.6025 0.6025 0.6025  6 Li 2.60-2.61, 6 Cu 2.71

Results
SG: No. 166
Crystal system: trigonal

---

Entry z
VASP calculation (PBE) on an optimized crystal structure of Li3Cu2.

Lattice parameters (Å, degrees): 11.9253 4.6483 12.6676 70.22 21.52 88.27
Closest atoms and distances in Å follow each position.
Positions (direct):
Li 0.0000 0.0000 0.0000  6 Li 2.59-2.89, 6 Cu 2.59-2.79
Li 0.2500 0.2500 0.2500  6 Li 2.59-2.89, 6 Cu 2.59-2.79
Li 0.3439 0.4873 0.4496  5 Li 2.54-2.69, 4 Cu 2.63-2.84
Li 0.4873 0.3439 0.7192  5 Li 2.54-2.69, 4 Cu 2.63-2.84
Li 0.5308 0.8004 0.7627  5 Li 2.54-2.69, 4 Cu 2.63-2.84
Li 0.8004 0.5308 0.9061  5 Li 2.54-2.69, 4 Cu 2.63-2.84
Cu 0.0188 0.6412 0.3903  4 Cu 2.53-2.59, 6 Li 2.59-2.79
Cu 0.3003 0.8597 0.6088  4 Cu 2.53-2.59, 6 Li 2.59-2.79
Cu 0.6412 0.0188 0.9497  4 Cu 2.53-2.59, 6 Li 2.59-2.79
Cu 0.8597 0.3003 0.2312  4 Cu 2.53-2.59, 6 Li 2.59-2.79

Results
SG: No. 43
Crystal system: orthorhombic

---

Which structure loses on stability? entry x does.

---

Entry w
VASP calculation (PBE) on an optimized crystal structure of LiLuCu.

Lattice parameters (Å, degrees): 5.2241 5.2241 5.2241 141.40 141.40 55.74
Closest atoms and distances in Å follow each position.
Positions (direct):
Li 0.0000 0.0000 0.0000  4 Cu 2.74, 5 Lu 2.78-3.06
Lu 0.3005 0.3005 0.0000  5 Li 2.78-3.06, 5 Cu 2.88-3.10
Cu 0.6357 0.6357 0.0000  4 Li 2.74, 4 Lu 2.88

Results
SG: No. 107
Crystal system: tetragonal

---

Entry x
VASP calculation (PBE) on an optimized crystal structure of LiLuCu.

Lattice parameters (Å, degrees): 4.4013 4.4013 3.3439 90.00 90.00 120.00
Closest atoms and distances in Å follow each position.
Positions (direct):
Li 0.0000 0.0000 0.0000  3 Cu 2.54
Lu 0.3333 0.6667 0.5000  6 Li 3.04, 6 Cu 3.04, 2 Lu 3.34
Cu 0.6667 0.3333 0.0000  3 Li 2.54

Results
SG: No. 187
Crystal system: hexagonal

---

Which structure loses on stability? entry x does.

---

Entry w
VASP calculation (PBE) on an optimized crystal structure of Li2Mg8Cu.

Lattice parameters (Å, degrees): 8.2125 8.2125 8.2125 145.52 131.83 60.57
Closest atoms and distances in Å follow each position.
Positions (direct):
Li 0.1890 0.1890 0.0000  10 Mg 2.98-3.13
Li 0.8110 0.8110 0.0000  10 Mg 2.98-3.13
Mg 0.0955 0.3659 0.7296  1 Cu 2.63
Mg 0.2417 0.0000 0.2417  2 Cu 2.99, 7 Mg 3.05-3.24, 2 Li 3.13
Mg 0.3230 0.8230 0.5000  8 Mg 3.05-3.09, 4 Li 3.09-3.36
Mg 0.3637 0.6341 0.7296  1 Cu 2.63
Mg 0.6363 0.3659 0.2704  1 Cu 2.63
Mg 0.6770 0.1770 0.5000  8 Mg 3.05-3.09, 4 Li 3.09-3.36
Mg 0.7583 0.0000 0.7583  2 Cu 2.99, 7 Mg 3.05-3.24, 2 Li 3.13
Mg 0.9045 0.6341 0.2704  1 Cu 2.63
Cu 0.5000 0.5000 0.0000  4 Mg 2.63

Results
SG: No. 71
Crystal system: orthorhombic

---

Entry x
VASP calculation (PBE) on an optimized crystal structure of Li2Mg8Cu.

Lattice parameters (Å, degrees): 7.9212 7.9212 6.6346 106.28 106.28 34.55
Closest atoms and distances in Å follow each position.
Positions (direct):
Li 0.2110 0.2110 0.1487  10 Mg 2.88-3.14
Li 0.7890 0.7890 0.8513  10 Mg 2.88-3.14
Mg 0.0317 0.0317 0.2492  7 Mg 2.96-3.16, 1 Li 2.98, 2 Cu 3.00
Mg 0.1555 0.1555 0.6951  3 Li 2.88-3.08, 7 Mg 2.96-3.10
Mg 0.3343 0.3343 0.5850  1 Cu 2.73, 1 Li 2.95, 3 Mg 3.00-3.03
Mg 0.4045 0.4045 0.0698  1 Cu 2.79, 3 Li 3.03-3.12, 5 Mg 3.05-3.10
Mg 0.5955 0.5955 0.9302  1 Cu 2.79, 3 Li 3.03-3.12, 5 Mg 3.05-3.10
Mg 0.6657 0.6657 0.4150  1 Cu 2.73, 1 Li 2.95, 3 Mg 3.00-3.03
Mg 0.8445 0.8445 0.3049  3 Li 2.88-3.08, 7 Mg 2.96-3.10
Mg 0.9683 0.9683 0.7508  7 Mg 2.96-3.16, 1 Li 2.98, 2 Cu 3.00
Cu 0.5000 0.5000 0.5000  8 Mg 2.73-3.00

Results
SG: No. 12
Crystal system: monoclinic

---

Which structure loses on stability? entry w does.